# NdSmMgZn

Crystalline NdSmMgZn at its relaxed geometry (PBE-GGA, Alexandria via LeMat-Bulk).

Structure (extended XYZ):
```
4
Lattice="-2.868 1.070 2.101 -1.031 -3.545 0.398 4.436 -0.576 6.349" Properties=species:S:1:pos:R:3 pbc="T T T"
Nd 3.697 -0.480 5.292
Sm 1.694 -0.220 2.425
Mg -1.454 -1.302 1.960
Zn 0.715 -1.583 5.063
```

Values from the calculation:
Fermi-level density of states: 4.4 states/eV/f.u.
formation energy from the elements: -0.209 eV/atom
crystal system: tetragonal
E above lowest polymorph: 0.00 eV/f.u.

***

# NdMgSn3

Crystalline NdMgSn3 at its relaxed geometry (PBE-GGA, Alexandria via LeMat-Bulk).

Structure (extended XYZ):
```
20
Lattice="6.296 0.065 0.000 -0.066 6.376 0.000 0.000 0.000 13.297" Properties=species:S:1:pos:R:3 pbc="T T T"
Nd 3.150 1.627 9.159
Nd 3.081 4.813 4.137
Nd 0.002 1.595 4.137
Nd 6.229 4.846 9.159
Mg 1.541 3.204 1.476
Mg 4.722 0.049 11.822
Mg 4.689 3.237 11.820
Mg 1.574 0.016 1.475
Sn 1.574 0.016 6.651
Sn 4.689 3.237 6.645
Sn 4.722 0.049 6.646
Sn 1.541 3.204 6.651
Sn 1.205 4.794 12.219
Sn 5.025 1.647 1.078
Sn 4.353 4.827 1.078
Sn 1.877 1.614 12.219
Sn 3.067 4.815 9.769
Sn 3.164 1.626 3.528
Sn 6.215 4.847 3.528
Sn 0.016 1.593 9.769
```

Values from the calculation:
Fermi-level density of states: 1.6 states/eV/f.u.
formation energy from the elements: -0.413 eV/atom
crystal system: orthorhombic
E above lowest polymorph: 0.00 eV/f.u.

***

# Nd2MgSn

Crystalline Nd2MgSn at its relaxed geometry (PBE-GGA, Alexandria via LeMat-Bulk).

Structure (extended XYZ):
```
4
Lattice="-1.459 -3.411 -1.423 2.977 -1.991 1.721 -4.068 -0.806 6.103" Properties=species:S:1:pos:R:3 pbc="T T T"
Mg 0.759 -2.701 0.149
Nd -3.049 -0.604 4.574
Nd -1.019 -0.202 1.529
Sn -1.275 -3.104 3.201
```

Values from the calculation:
Fermi-level density of states: 2.5 states/eV/f.u.
formation energy from the elements: -0.406 eV/atom
crystal system: tetragonal

***

# Nd2MgSn3

Crystalline Nd2MgSn3 at its relaxed geometry (PBE-GGA, Alexandria via LeMat-Bulk).

Structure (extended XYZ):
```
12
Lattice="-4.951 1.605 -2.517 -3.897 -0.509 7.341 3.222 7.522 -1.542" Properties=species:S:1:pos:R:3 pbc="T T T"
Nd -4.970 2.239 1.245
Nd -0.656 6.378 2.037
Nd -2.743 4.023 4.642
Nd -2.883 4.594 -1.360
Mg -4.323 7.539 3.352
Mg -1.303 1.078 -0.069
Sn -1.516 3.292 1.761
Sn -4.110 5.326 1.521
Sn -0.536 6.878 -1.200
Sn 1.940 6.075 0.058
Sn -5.090 1.740 4.483
Sn -2.614 0.937 5.741
```

Values from the calculation:
Fermi-level density of states: 3.5 states/eV/f.u.
formation energy from the elements: -0.382 eV/atom
crystal system: orthorhombic

***

# NdMgSn2

Crystalline NdMgSn2 at its relaxed geometry (PBE-GGA, Alexandria via LeMat-Bulk).

Structure (extended XYZ):
```
4
Lattice="-1.005 3.695 0.152 -3.251 -0.808 -1.861 -3.278 -1.147 6.225" Properties=species:S:1:pos:R:3 pbc="T T T"
Mg -2.128 1.443 -0.855
Nd -3.767 0.870 2.258
Sn -2.569 -0.899 4.878
Sn -0.709 -0.248 1.347
```

Values from the calculation:
Fermi-level density of states: 3.1 states/eV/f.u.
formation energy from the elements: -0.399 eV/atom
crystal system: tetragonal
E above lowest polymorph: 0.55 eV/f.u.

***

# Nd4MgSn2

Crystalline Nd4MgSn2 at its relaxed geometry (PBE-GGA, Alexandria via LeMat-Bulk).

Structure (extended XYZ):
```
14
Lattice="-5.206 1.745 -5.819 1.666 -5.478 -3.133 -2.825 -5.132 7.471" Properties=species:S:1:pos:R:3 pbc="T T T"
Nd -2.623 -2.889 -3.078
Nd -1.513 -8.568 3.978
Nd -4.852 -0.297 -5.459
Nd -3.440 -0.201 -1.541
Nd -1.203 -3.989 2.935
Nd -2.925 -8.664 0.059
Nd -3.742 -5.976 1.597
Nd -5.162 -4.876 -4.416
Mg -0.837 -5.250 -1.464
Mg -5.528 -3.615 -0.017
Sn -3.207 -3.141 -6.411
Sn -3.158 -5.724 4.930
Sn -2.691 -2.960 0.346
Sn -3.674 -5.905 -1.827
```

Values from the calculation:
Fermi-level density of states: 7.6 states/eV/f.u.
formation energy from the elements: -0.341 eV/atom
crystal system: monoclinic

***

# Nd6MgSn

Crystalline Nd6MgSn at its relaxed geometry (PBE-GGA, Alexandria via LeMat-Bulk).

Structure (extended XYZ):
```
8
Lattice="-3.675 -3.275 0.928 3.279 -3.041 2.256 -1.811 4.496 8.693" Properties=species:S:1:pos:R:3 pbc="T T T"
Nd -0.198 -3.158 1.592
Nd -1.103 -0.910 5.939
Nd -2.282 -0.535 2.596
Nd -3.205 1.756 7.025
Nd 1.195 -0.418 3.260
Nd 0.272 1.873 7.689
Mg -0.906 2.248 4.347
Sn 0.000 0.000 0.000
```

Values from the calculation:
Fermi-level density of states: 13.9 states/eV/f.u.
formation energy from the elements: -0.223 eV/atom
crystal system: tetragonal

***

# Nd4Mg3Sn

Crystalline Nd4Mg3Sn at its relaxed geometry (PBE-GGA, Alexandria via LeMat-Bulk).

Structure (extended XYZ):
```
8
Lattice="-4.052 2.557 -2.649 -1.231 -1.417 -5.143 -7.605 -5.698 0.476" Properties=species:S:1:pos:R:3 pbc="T T T"
Mg -3.297 -1.218 -1.789
Mg -9.590 -3.341 -5.527
Mg -6.444 -2.279 -3.658
Nd -7.455 -1.120 -6.650
Nd -8.651 -4.575 -2.498
Nd -5.433 -3.439 -0.666
Nd -4.236 0.016 -4.819
Sn 0.000 0.000 0.000
```

Values from the calculation:
Fermi-level density of states: 8.1 states/eV/f.u.
formation energy from the elements: -0.285 eV/atom
crystal system: trigonal

***

# Nd2Mg16Sn

Crystalline Nd2Mg16Sn at its relaxed geometry (PBE-GGA, Alexandria via LeMat-Bulk).

Structure (extended XYZ):
```
19
Lattice="7.747 0.067 0.948 0.847 7.701 0.948 0.074 0.067 7.804" Properties=species:S:1:pos:R:3 pbc="T T T"
Nd 5.845 5.283 6.541
Nd 2.825 2.554 3.162
Mg 5.376 0.079 3.077
Mg 0.326 2.435 5.687
Mg 2.988 5.340 0.961
Mg 0.620 5.340 3.077
Mg 5.614 2.435 0.961
Mg 2.455 0.079 5.687
Mg 3.432 6.527 3.841
Mg 6.839 2.757 3.841
Mg 3.051 2.757 7.227
Mg 5.215 1.400 5.836
Mg 1.918 5.047 5.836
Mg 5.584 5.047 2.560
Mg 0.437 3.832 0.489
Mg 3.857 0.049 0.489
Mg 0.054 0.049 3.887
Mg 0.795 0.718 0.889
Sn 7.776 7.029 8.702
```

Values from the calculation:
Fermi-level density of states: 7.3 states/eV/f.u.
formation energy from the elements: -0.088 eV/atom
crystal system: trigonal

***

# Nd4MgSn15

Crystalline Nd4MgSn15 at its relaxed geometry (PBE-GGA, Alexandria via LeMat-Bulk).

Structure (extended XYZ):
```
20
Lattice="4.697 0.000 0.000 0.000 4.697 0.000 0.000 0.000 24.484" Properties=species:S:1:pos:R:3 pbc="T T T"
Nd 0.000 0.000 4.976
Nd 0.000 0.000 9.776
Nd 0.000 0.000 14.708
Nd 0.000 0.000 19.508
Mg 0.000 0.000 0.000
Sn 2.349 2.349 0.000
Sn 2.349 2.349 4.781
Sn 2.349 2.349 9.786
Sn 2.349 2.349 14.698
Sn 2.349 2.349 19.703
Sn 2.349 0.000 2.360
Sn 2.349 0.000 7.333
Sn 2.349 0.000 12.242
Sn 2.349 0.000 17.151
Sn 2.349 0.000 22.125
Sn 0.000 2.349 2.360
Sn 0.000 2.349 7.333
Sn 0.000 2.349 12.242
Sn 0.000 2.349 17.151
Sn 0.000 2.349 22.125
```

Values from the calculation:
Fermi-level density of states: 8.6 states/eV/f.u.
formation energy from the elements: -0.399 eV/atom
crystal system: tetragonal

***

# Nd2MgSn4

Crystalline Nd2MgSn4 at its relaxed geometry (PBE-GGA, Alexandria via LeMat-Bulk).

Structure (extended XYZ):
```
7
Lattice="4.525 0.000 0.000 0.000 4.525 0.000 0.000 0.000 9.827" Properties=species:S:1:pos:R:3 pbc="T T T"
Nd 2.262 0.000 7.440
Nd 0.000 2.262 2.387
Mg 2.262 2.262 0.000
Sn 2.262 0.000 1.859
Sn 0.000 2.262 7.968
Sn 2.262 2.262 4.913
Sn 0.000 0.000 4.913
```

Values from the calculation:
Fermi-level density of states: 5.4 states/eV/f.u.
formation energy from the elements: -0.393 eV/atom
crystal system: tetragonal

***

# NdMgSn

Crystalline NdMgSn at its relaxed geometry (PBE-GGA, Alexandria via LeMat-Bulk).

Structure (extended XYZ):
```
6
Lattice="8.713 0.004 0.000 6.377 5.938 0.000 -7.545 -2.971 3.189" Properties=species:S:1:pos:R:3 pbc="T T T"
Nd 10.037 3.952 0.000
Nd 5.053 1.989 0.000
Mg -0.584 1.483 1.594
Mg 0.584 -1.483 1.594
Sn 13.075 5.148 0.000
Sn 2.015 0.793 0.000
```

Values from the calculation:
Fermi-level density of states: 1.6 states/eV/f.u.
formation energy from the elements: -0.613 eV/atom
crystal system: tetragonal

***

# NdMg2Sn

Crystalline NdMg2Sn at its relaxed geometry (PBE-GGA, Alexandria via LeMat-Bulk).

Structure (extended XYZ):
```
8
Lattice="-0.650 -3.743 -2.896 5.627 1.011 -2.569 2.911 -4.170 4.735" Properties=species:S:1:pos:R:3 pbc="T T T"
Nd 1.204 -1.724 1.958
Nd 4.195 -3.811 0.044
Mg 3.979 -3.343 3.426
Mg 6.682 -2.857 2.192
Mg 1.420 -2.193 -1.424
Mg 4.345 -1.668 -2.759
Sn 3.584 -0.598 -0.031
Sn 1.815 -4.938 2.034
```

Values from the calculation:
Fermi-level density of states: 2.1 states/eV/f.u.
formation energy from the elements: -0.377 eV/atom
crystal system: orthorhombic
E above lowest polymorph: 0.24 eV/f.u.

***

# Nd3Mg2Sn3

Crystalline Nd3Mg2Sn3 at its relaxed geometry (PBE-GGA, Alexandria via LeMat-Bulk).

Structure (extended XYZ):
```
8
Lattice="-0.761 -3.439 -2.611 4.437 -1.596 0.809 -5.344 -3.017 9.211" Properties=species:S:1:pos:R:3 pbc="T T T"
Nd 0.963 -3.899 1.174
Nd -2.630 -4.153 6.235
Nd -0.380 -1.719 -1.305
Mg -2.136 -4.491 2.856
Mg 0.468 -3.561 4.554
Sn -1.061 -1.676 2.516
Sn 2.219 -0.798 0.405
Sn -0.606 -6.376 4.894
```

Values from the calculation:
Fermi-level density of states: 5.8 states/eV/f.u.
formation energy from the elements: -0.501 eV/atom
crystal system: orthorhombic

***

# NdMgSn

Crystalline NdMgSn at its relaxed geometry (PBE-GGA, Alexandria via LeMat-Bulk).

Structure (extended XYZ):
```
3
Lattice="3.586 0.000 0.000 0.000 3.586 0.000 -1.793 -1.793 6.344" Properties=species:S:1:pos:R:3 pbc="T T T"
Mg 1.793 1.793 5.514
Nd 1.793 1.793 1.515
Sn 0.000 0.000 3.756
```

Values from the calculation:
Fermi-level density of states: 2.1 states/eV/f.u.
formation energy from the elements: -0.323 eV/atom
crystal system: tetragonal

***

# NdMg2Sn3

Crystalline NdMg2Sn3 at its relaxed geometry (PBE-GGA, Alexandria via LeMat-Bulk).

Structure (extended XYZ):
```
6
Lattice="4.424 0.000 0.000 0.000 4.500 -1.522 0.000 0.069 7.619" Properties=species:S:1:pos:R:3 pbc="T T T"
Nd 0.000 0.000 0.000
Mg 0.000 3.046 1.593
Mg 0.000 1.523 4.504
Sn 2.212 0.799 2.363
Sn 2.212 2.250 -0.761
Sn 2.212 3.770 3.734
```

Values from the calculation:
Fermi-level density of states: 2.0 states/eV/f.u.
formation energy from the elements: -0.393 eV/atom
crystal system: orthorhombic
E above lowest polymorph: 0.00 eV/f.u.

***

# Nd5MgSn3

Crystalline Nd5MgSn3 at its relaxed geometry (PBE-GGA, Alexandria via LeMat-Bulk).

Structure (extended XYZ):
```
18
Lattice="-1.100 2.415 6.104 -3.044 -8.664 2.880 9.307 2.327 0.757" Properties=species:S:1:pos:R:3 pbc="T T T"
Nd 1.073 -5.000 2.172
Nd 4.640 -0.129 4.516
Nd 5.190 -1.337 1.465
Nd 0.523 -3.792 5.224
Nd 3.588 -2.653 7.140
Nd -1.119 -6.165 7.681
Nd -1.724 -0.748 5.429
Nd 1.575 -1.268 2.600
Nd 6.282 2.243 2.059
Nd -2.419 -5.500 3.555
Mg 0.000 0.000 0.000
Mg -0.550 1.208 3.052
Sn 1.445 -0.485 5.896
Sn 2.065 -5.368 7.940
Sn -2.766 -3.712 6.414
Sn 3.718 -3.436 3.845
Sn 3.099 1.447 1.800
Sn -1.378 -2.537 2.570
```

Values from the calculation:
Fermi-level density of states: 7.9 states/eV/f.u.
formation energy from the elements: -0.608 eV/atom
crystal system: hexagonal

***

# NdMgSn

Crystalline NdMgSn at its relaxed geometry (PBE-GGA, Alexandria via LeMat-Bulk).

Structure (extended XYZ):
```
6
Lattice="-0.073 3.768 2.517 -2.498 -2.134 3.121 6.659 -2.355 3.719" Properties=species:S:1:pos:R:3 pbc="T T T"
Nd 0.384 0.407 5.520
Nd 3.704 -1.129 3.837
Mg -1.892 -0.659 2.970
Mg -0.680 2.292 2.668
Sn 1.001 -0.173 2.328
Sn 3.087 -0.549 7.030
```

Values from the calculation:
Fermi-level density of states: 3.4 states/eV/f.u.
formation energy from the elements: -0.555 eV/atom
crystal system: tetragonal

***

# Nd2Mg3Sn3

Crystalline Nd2Mg3Sn3 at its relaxed geometry (PBE-GGA, Alexandria via LeMat-Bulk).

Structure (extended XYZ):
```
8
Lattice="-4.003 -1.746 1.976 -0.606 -2.820 -3.718 4.872 -6.493 4.131" Properties=species:S:1:pos:R:3 pbc="T T T"
Nd 3.624 -4.830 3.073
Nd 1.248 -1.663 1.058
Mg 1.370 -7.180 2.245
Mg -1.107 -3.879 0.144
Mg -2.001 -0.873 0.988
Sn 0.435 -4.120 3.054
Sn -0.303 -1.410 -1.859
Sn 2.133 -4.656 0.206
```

Values from the calculation:
Fermi-level density of states: 3.4 states/eV/f.u.
formation energy from the elements: -0.485 eV/atom
crystal system: orthorhombic

***

# NdMgSn

Crystalline NdMgSn at its relaxed geometry (PBE-GGA, Alexandria via LeMat-Bulk).

Structure (extended XYZ):
```
3
Lattice="-2.205 -2.924 -0.688 1.173 -1.927 4.430 -3.905 3.047 -0.431" Properties=species:S:1:pos:R:3 pbc="T T T"
Mg -0.368 -0.488 -0.115
Nd -3.683 -0.561 0.731
Sn -0.887 -0.755 2.696
```

Values from the calculation:
Fermi-level density of states: 1.3 states/eV/f.u.
formation energy from the elements: -0.510 eV/atom
crystal system: hexagonal

***

# NdMg3Sn2

Crystalline NdMg3Sn2 at its relaxed geometry (PBE-GGA, Alexandria via LeMat-Bulk).

Structure (extended XYZ):
```
12
Lattice="4.637 0.000 0.000 -2.318 8.865 -0.085 0.000 -4.106 7.520" Properties=species:S:1:pos:R:3 pbc="T T T"
Nd 2.318 2.675 6.972
Nd 0.000 2.084 0.463
Mg 0.000 3.244 3.888
Mg 2.318 5.432 4.389
Mg 2.318 -1.005 5.305
Mg 0.000 5.764 2.129
Mg 0.000 -0.673 3.046
Mg 2.318 1.515 3.546
Sn 0.000 5.153 6.054
Sn 2.318 -0.393 1.381
Sn 2.318 3.990 1.739
Sn 0.000 0.770 5.696
```

Values from the calculation:
Fermi-level density of states: 2.7 states/eV/f.u.
formation energy from the elements: -0.320 eV/atom
crystal system: monoclinic

***

# Nd2Mg3Sn2

Crystalline Nd2Mg3Sn2 at its relaxed geometry (PBE-GGA, Alexandria via LeMat-Bulk).

Structure (extended XYZ):
```
7
Lattice="4.614 0.000 0.000 -2.307 5.665 -0.088 0.000 -2.717 7.202" Properties=species:S:1:pos:R:3 pbc="T T T"
Nd 2.307 3.421 1.503
Nd 0.000 -0.474 5.611
Mg 2.307 0.000 0.000
Mg 2.307 0.076 3.094
Mg 0.000 2.872 4.021
Sn 2.307 1.825 5.519
Sn 0.000 1.122 1.596
```

Values from the calculation:
Fermi-level density of states: 4.7 states/eV/f.u.
formation energy from the elements: -0.435 eV/atom
crystal system: monoclinic

***

# NdMgSn

Crystalline NdMgSn at its relaxed geometry (PBE-GGA, Alexandria via LeMat-Bulk).

Structure (extended XYZ):
```
3
Lattice="-4.658 0.936 1.735 -4.035 -1.545 -2.628 -2.857 -3.790 1.748" Properties=species:S:1:pos:R:3 pbc="T T T"
Mg -5.775 -2.200 0.427
Nd 0.000 0.000 0.000
Sn -2.887 -1.100 0.214
```

Values from the calculation:
Fermi-level density of states: 1.7 states/eV/f.u.
formation energy from the elements: -0.374 eV/atom
crystal system: cubic